DFT (PBE-GGA) results for a relaxed ThTaN3 crystal.

```
ThTaN3
1.0
-3.305 -3.839 -2.599
4.391 -1.434 -3.466
2.350 -5.612 5.301
N Ta Th
12 4 4
Cartesian
1.074 -8.450 -0.208 N
-0.893 -3.396 -2.608 N
4.329 -7.490 1.845 N
3.514 -4.365 -3.108 N
-0.078 -6.520 2.345 N
0.056 -5.662 -0.468 N
1.500 -4.140 1.685 N
2.449 -6.406 3.826 N
1.936 -6.745 -2.448 N
0.987 -4.479 -4.589 N
3.380 -5.224 -0.295 N
2.362 -2.436 -0.555 N
2.195 -0.717 -1.733 Ta
3.371 -3.523 0.918 Ta
-1.653 -1.919 -1.299 Ta
-0.477 -4.726 1.351 Ta
-2.506 -5.282 -1.409 Th
1.303 -4.125 -1.874 Th
2.134 -6.760 1.111 Th
5.942 -5.604 0.646 Th
```

Results
- space group = Pnma, No. 62
- V (A^3/atom) = 13.266
- M_tot (Bohr magnetons per cell) = 0.00
- E_form (uncorrected) (kJ per mole of atoms) = -142

=====

DFT (PBE-GGA) results for a relaxed PrAl2Ni crystal.

```
PrAl2Ni
1.0
3.125 0.000 0.000
0.000 3.125 0.000
0.000 0.000 7.493
Ni Al Pr
1 2 1
Cartesian
1.562 1.562 0.000 Ni
0.000 0.000 6.150 Al
0.000 0.000 1.343 Al
1.562 1.562 3.747 Pr
```

Results
- space group = P4/mmm, No. 123
- V (A^3/atom) = 18.293
- M_tot (Bohr magnetons per cell) = 0.00
- formation energy (eV/atom) = -0.372

=====

DFT (PBE-GGA) results for a relaxed Nd4IrSeS2 crystal.

```
Nd4IrSeS2
1.0
4.101 0.000 0.000
0.000 7.228 -0.163
0.000 2.528 6.841
Nd Se S Ir
4 1 2 1
Cartesian
0.000 7.301 5.110 Nd
2.051 3.691 5.174 Nd
2.051 6.065 1.505 Nd
4.101 2.455 1.568 Nd
0.000 4.878 3.339 Se
0.000 2.528 6.841 S
2.051 1.264 3.421 S
2.051 6.142 6.760 Ir
```

Results
- space group = P2/m, No. 10
- V (A^3/atom) = 25.562
- M_tot (Bohr magnetons per cell) = 0.00
- E_form (uncorrected) (kJ per mole of atoms) = -154

=====

DFT (PBE-GGA) results for a relaxed Zr2RhW crystal.

```
Zr2RhW
1.0
0.000 3.320 3.320
3.320 0.000 3.320
3.320 3.320 0.000
Rh Zr W
1 2 1
Cartesian
0.000 0.000 0.000 Rh
1.660 1.660 1.660 Zr
4.980 4.980 4.980 Zr
3.320 3.320 3.320 W
```

Results
- space group = Fm-3m, No. 225
- V (A^3/atom) = 18.302
- M_tot (Bohr magnetons per cell) = 0.00
- formation energy (eV/atom) = -0.283

=====

DFT (PBE-GGA) results for a relaxed Pr6SmEr3 crystal.

```
Pr6SmEr3
1.0
-2.555 -5.707 1.475
6.705 -0.701 8.904
-10.090 4.721 0.788
Er Sm Pr
6 2 12
Cartesian
0.177 -2.586 3.291 Er
-2.044 0.052 9.650 Er
-3.862 2.132 4.038 Er
-4.991 -4.183 2.149 Er
-1.254 -1.976 6.653 Er
-7.213 -1.545 8.507 Er
-7.118 3.048 2.521 Sm
1.896 -3.128 8.231 Sm
1.578 -0.050 6.843 Pr
-1.720 2.193 6.889 Pr
-3.196 -1.590 3.686 Pr
0.387 -5.000 5.580 Pr
-4.345 -0.226 6.976 Pr
-11.736 -0.450 2.359 Pr
-1.179 -3.140 10.063 Pr
-7.026 -0.538 4.040 Pr
-5.358 0.121 1.449 Pr
-0.571 0.828 3.600 Pr
-6.924 1.981 5.932 Pr
5.166 -2.641 9.172 Pr
```

Results
- space group = Cmc2_1, No. 36
- V (A^3/atom) = 34.400
- M_tot (Bohr magnetons per cell) = 0.00
- formation energy (eV/atom) = 0.140

=====

DFT (PBE-GGA) results for a relaxed YTl3Cr2S6 crystal.

```
YTl3Cr2S6
1.0
6.469 0.011 0.000
-3.224 5.608 0.000
-1.086 -1.880 7.448
S Cr Y Tl
6 2 1 3
Cartesian
2.360 0.006 1.378 S
-0.201 3.733 6.072 S
3.334 1.692 6.072 S
-1.174 2.047 1.378 S
2.062 3.570 1.321 S
0.098 0.170 6.128 S
0.009 3.742 0.000 Cr
3.237 1.877 0.000 Cr
0.000 0.000 0.000 Y
1.080 1.870 3.725 Tl
-2.236 3.785 3.725 Tl
4.396 -0.045 3.725 Tl
```

Results
- space group = C2/m, No. 12
- V (A^3/atom) = 22.540
- M_tot (Bohr magnetons per cell) = 6.01
- E_form (uncorrected) (kJ per mole of atoms) = -81